Entry 1:
Computed, not measured: a geometry-optimized CaAl2Cu structure at the PBE level of DFT.

Lattice parameters (Å, degrees): 3.2745 3.2745 7.1275 90.00 90.00 90.00
Last column: nearest neighbours and their distance in Å.
Positions (direct):
Al: 0.0000 0.0000 0.9687  4 Cu 2.55, 4 Al 2.83
Ca: 0.0000 0.0000 0.5155  4 Cu 3.16, 5 Al 3.23-3.24, 4 Ca 3.27
Al: 0.5000 0.5000 0.1980  1 Cu 2.71, 4 Al 2.83
Cu: 0.5000 0.5000 0.8178  5 Al 2.55-2.71

Calculated values
Density of states at the Fermi level = 0.538 states/eV/atom
ρ = 3424 kg/m3
Formation energy from the elements = -0.121 eV/atom

Entry 2:
Computed, not measured: a geometry-optimized Ca3Al2Cu7 structure at the PBE level of DFT.

Lattice parameters (Å, degrees): 5.3218 5.3218 8.8559 72.51 72.51 60.00
Last column: nearest neighbours and their distance in Å.
Positions (direct):
Al: 0.6684 0.6684 0.9947  6 Cu 2.52-2.57
Al: 0.3316 0.3316 0.0053  6 Cu 2.52-2.57
Ca: 0.8584 0.8584 0.4247  12 Cu 3.05-3.16, 3 Ca 3.32
Ca: 0.0000 0.0000 0.0000  6 Al 3.07, 12 Cu 3.35
Cu: 0.0860 0.5792 0.7557  2 Al 2.52-2.57, 5 Cu 2.61-2.70
Ca: 0.1416 0.1416 0.5753  12 Cu 3.05-3.16, 3 Ca 3.32
Cu: 0.5000 0.5000 0.5000  6 Cu 2.61
Cu: 0.4208 0.9140 0.2443  2 Al 2.52-2.57, 5 Cu 2.61-2.70
Cu: 0.5792 0.0860 0.7557  2 Al 2.52-2.57, 5 Cu 2.61-2.70
Cu: 0.5792 0.5792 0.7557  2 Al 2.52-2.57, 5 Cu 2.61-2.70
Cu: 0.4208 0.4208 0.2443  2 Al 2.52-2.57, 5 Cu 2.61-2.70
Cu: 0.9140 0.4208 0.2443  2 Al 2.52-2.57, 5 Cu 2.61-2.70

Calculated values
Density of states at the Fermi level = 0.571 states/eV/atom
ρ = 5046 kg/m3
Formation energy from the elements = -0.196 eV/atom

Entry 3:
Computed, not measured: a geometry-optimized Ca4AlCu structure at the PBE level of DFT.

Lattice parameters (Å, degrees): 6.5396 6.5396 6.5396 60.00 60.00 60.00
Last column: nearest neighbours and their distance in Å.
Positions (direct):
Ca: 0.8759 0.3747 0.3747  6 Ca 3.26-3.28
Cu: 0.7500 0.7500 0.7500  12 Ca 3.84, 4 Al 4.00
Al: 0.0000 0.0000 0.0000  12 Ca 3.83, 4 Cu 4.00
Ca: 0.3747 0.8759 0.3747  6 Ca 3.26-3.28
Ca: 0.3747 0.3747 0.8759  6 Ca 3.26-3.28
Ca: 0.3747 0.3747 0.3747  6 Ca 3.26-3.28

Calculated values
Density of states at the Fermi level = 1.241 states/eV/atom
ρ = 2106 kg/m3
Formation energy from the elements = 0.607 eV/atom

Entry 4:
Computed, not measured: a geometry-optimized Ca3Al2Cu2 structure at the PBE level of DFT.

Lattice parameters (Å, degrees): 5.8289 8.3070 13.4138 90.00 90.00 90.00
Last column: nearest neighbours and their distance in Å.
Positions (direct):
Al: 0.6261 0.7500 0.5000  4 Cu 2.59-2.60
Cu: 0.6172 0.4719 0.4134  3 Al 2.55-2.60, 1 Cu 2.74
Ca: 0.3457 0.2619 0.2500  5 Al 3.06-3.36, 4 Cu 3.22-3.26
Cu: 0.3828 0.9719 0.0866  3 Al 2.55-2.60, 1 Cu 2.74
Cu: 0.6172 0.0281 0.9134  3 Al 2.55-2.60, 1 Cu 2.74
Ca: 0.1386 0.8889 0.6008  4 Cu 2.97-3.32, 2 Al 3.17-3.22
Ca: 0.1386 0.8889 0.8992  4 Cu 2.97-3.32, 2 Al 3.17-3.22
Cu: 0.3828 0.5281 0.5866  3 Al 2.55-2.60, 1 Cu 2.74
Al: 0.3739 0.2500 0.0000  4 Cu 2.59-2.60
Cu: 0.3828 0.5281 0.9134  3 Al 2.55-2.60, 1 Cu 2.74
Al: 0.6261 0.7500 0.0000  4 Cu 2.59-2.60
Ca: 0.1386 0.6111 0.3992  4 Cu 2.97-3.32, 2 Al 3.17-3.22
Al: 0.1756 0.9133 0.2500  2 Cu 2.55
Al: 0.1756 0.5867 0.7500  2 Cu 2.55
Ca: 0.8614 0.3889 0.8992  4 Cu 2.97-3.32, 2 Al 3.17-3.22
Ca: 0.8614 0.1111 0.1008  4 Cu 2.97-3.32, 2 Al 3.17-3.22
Al: 0.8244 0.4133 0.2500  2 Cu 2.55
Cu: 0.3828 0.9719 0.4134  3 Al 2.55-2.60, 1 Cu 2.74
Ca: 0.8614 0.1111 0.3992  4 Cu 2.97-3.32, 2 Al 3.17-3.22
Ca: 0.3457 0.2381 0.7500  5 Al 3.06-3.36, 4 Cu 3.22-3.26
Cu: 0.6172 0.4719 0.0866  3 Al 2.55-2.60, 1 Cu 2.74
Ca: 0.6543 0.7619 0.2500  5 Al 3.06-3.36, 4 Cu 3.22-3.26
Ca: 0.8614 0.3889 0.6008  4 Cu 2.97-3.32, 2 Al 3.17-3.22
Al: 0.8244 0.0867 0.7500  2 Cu 2.55
Ca: 0.1386 0.6111 0.1008  4 Cu 2.97-3.32, 2 Al 3.17-3.22
Al: 0.3739 0.2500 0.5000  4 Cu 2.59-2.60
Cu: 0.6172 0.0281 0.5866  3 Al 2.55-2.60, 1 Cu 2.74
Ca: 0.6543 0.7381 0.7500  5 Al 3.06-3.36, 4 Cu 3.22-3.26

Calculated values
Density of states at the Fermi level = 0.471 states/eV/atom
ρ = 3081 kg/m3
Formation energy from the elements = -0.238 eV/atom

Entry 5:
Computed, not measured: a geometry-optimized CaAl2Cu structure at the PBE level of DFT.

Lattice parameters (Å, degrees): 3.9621 3.9621 10.0969 90.00 90.00 90.00
Last column: nearest neighbours and their distance in Å.
Positions (direct):
Al: 0.0000 0.5000 0.0680  1 Cu 2.71
Al: 0.0000 0.0000 0.5000  4 Cu 2.58, 4 Al 2.80
Ca: 0.0000 0.5000 0.7598  4 Cu 2.96, 9 Al 3.11-3.30
Cu: 0.0000 0.5000 0.3362  5 Al 2.58-2.71
Al: 0.5000 0.5000 0.5000  4 Cu 2.58, 4 Al 2.80
Al: 0.5000 0.0000 0.9320  1 Cu 2.71
Ca: 0.5000 0.0000 0.2402  4 Cu 2.96, 9 Al 3.11-3.30
Cu: 0.5000 0.0000 0.6638  5 Al 2.58-2.71

Calculated values
Density of states at the Fermi level = 0.565 states/eV/atom
ρ = 3302 kg/m3
Formation energy from the elements = -0.211 eV/atom

Entry 6:
Computed, not measured: a geometry-optimized Ca2AlCu2 structure at the PBE level of DFT.

Lattice parameters (Å, degrees): 5.6535 5.6535 5.4090 58.49 58.49 90.00
Last column: nearest neighbours and their distance in Å.
Positions (direct):
Cu: 0.3396 0.3396 0.3208  1 Cu 2.34, 1 Al 2.47
Cu: 0.6604 0.6604 0.6792  1 Cu 2.34, 1 Al 2.47
Ca: 0.7500 0.2500 0.5000  4 Cu 2.90
Ca: 0.2500 0.7500 0.5000  4 Cu 2.90
Al: 0.0000 0.0000 0.0000  2 Cu 2.47

Calculated values
Density of states at the Fermi level = 0.763 states/eV/atom
ρ = 3340 kg/m3
Formation energy from the elements = -0.035 eV/atom

Entry 7:
Computed, not measured: a geometry-optimized CaAlCu3 structure at the PBE level of DFT.

Lattice parameters (Å, degrees): 4.1874 4.1874 5.8145 111.11 111.11 90.00
Last column: nearest neighbours and their distance in Å.
Positions (direct):
Ca: 0.0114 0.0114 0.0229  12 Cu 3.16-3.32, 4 Al 3.23
Al: 0.6414 0.6414 0.2828  5 Cu 2.42-2.45
Cu: 0.3998 0.3998 0.7997  1 Al 2.42, 4 Cu 2.47
Cu: 0.2688 0.7688 0.5376  2 Al 2.45, 2 Cu 2.47
Cu: 0.7688 0.2688 0.5376  2 Al 2.45, 2 Cu 2.47

Calculated values
Density of states at the Fermi level = 0.264 states/eV/atom
ρ = 4877 kg/m3
Formation energy from the elements = -0.124 eV/atom
Excess energy over the best structure of this formula in the dataset = 4.1 meV/atom

Entry 8:
Computed, not measured: a geometry-optimized CaAl2Cu2 structure at the PBE level of DFT.

Lattice parameters (Å, degrees): 7.7473 7.7473 2.7386 90.00 90.00 90.00
Last column: nearest neighbours and their distance in Å.
Positions (direct):
Al: 0.6443 0.8557 0.5000  6 Cu 2.64-2.67, 2 Al 2.74
Ca: 0.0000 0.0000 0.0000  2 Ca 2.74, 4 Cu 2.96
Al: 0.8557 0.3557 0.5000  6 Cu 2.64-2.67, 2 Al 2.74
Cu: 0.1464 0.3536 0.0000  6 Al 2.64-2.67, 2 Cu 2.74
Al: 0.1443 0.6443 0.5000  6 Cu 2.64-2.67, 2 Al 2.74
Cu: 0.8536 0.6464 0.0000  6 Al 2.64-2.67, 2 Cu 2.74
Ca: 0.5000 0.5000 0.0000  2 Ca 2.74, 4 Cu 2.96
Cu: 0.3536 0.8536 0.0000  6 Al 2.64-2.67, 2 Cu 2.74
Cu: 0.6464 0.1464 0.0000  6 Al 2.64-2.67, 2 Cu 2.74
Al: 0.3557 0.1443 0.5000  6 Cu 2.64-2.67, 2 Al 2.74

Calculated values
Density of states at the Fermi level = 0.620 states/eV/atom
ρ = 4468 kg/m3
Formation energy from the elements = -0.120 eV/atom

Entry 9:
Computed, not measured: a geometry-optimized CaAl2Cu2 structure at the PBE level of DFT.

Lattice parameters (Å, degrees): 4.1577 4.1577 10.8895 101.01 101.01 90.00
Last column: nearest neighbours and their distance in Å.
Positions (direct):
Al: 0.1865 0.1865 0.3729  5 Cu 2.47-2.49
Ca: 0.3738 0.3738 0.7475  8 Cu 3.18-3.33, 8 Al 3.20-3.37
Cu: 0.0679 0.0679 0.1357  5 Al 2.49-2.52
Al: 0.8135 0.8135 0.6271  5 Cu 2.47-2.49
Cu: 0.9321 0.9321 0.8643  5 Al 2.49-2.52
Ca: 0.6262 0.6262 0.2525  8 Cu 3.18-3.33, 8 Al 3.20-3.37
Al: 0.0000 0.5000 0.0000  4 Cu 2.52
Al: 0.5000 0.0000 0.0000  4 Cu 2.52
Cu: 0.2500 0.7500 0.5000  4 Al 2.47
Cu: 0.7500 0.2500 0.5000  4 Al 2.47

Calculated values
Density of states at the Fermi level = 0.403 states/eV/atom
ρ = 4052 kg/m3
Formation energy from the elements = -0.259 eV/atom

Entry 10:
Computed, not measured: a geometry-optimized Ca2Al2Cu structure at the PBE level of DFT.

Lattice parameters (Å, degrees): 6.8538 6.8538 4.9728 90.00 90.00 90.00
Last column: nearest neighbours and their distance in Å.
Positions (direct):
Ca: 0.3280 0.1720 0.5000  6 Al 3.09-3.28, 1 Ca 3.34
Ca: 0.1720 0.6720 0.5000  6 Al 3.09-3.28, 1 Ca 3.34
Ca: 0.8280 0.3280 0.5000  6 Al 3.09-3.28, 1 Ca 3.34
Al: 0.6386 0.1386 0.0000  2 Cu 2.65, 1 Al 2.69
Cu: 0.5000 0.5000 0.0000  4 Al 2.65
Al: 0.1386 0.3614 0.0000  2 Cu 2.65, 1 Al 2.69
Al: 0.3614 0.8614 0.0000  2 Cu 2.65, 1 Al 2.69
Al: 0.8614 0.6386 0.0000  2 Cu 2.65, 1 Al 2.69
Ca: 0.6720 0.8280 0.5000  6 Al 3.09-3.28, 1 Ca 3.34
Cu: 0.0000 0.0000 0.0000  4 Al 2.65

Calculated values
Density of states at the Fermi level = 0.865 states/eV/atom
ρ = 2810 kg/m3
Formation energy from the elements = -0.115 eV/atom
Excess energy over the best structure of this formula in the dataset = 116.9 meV/atom

Entry 11:
Computed, not measured: a geometry-optimized CaAl2Cu2 structure at the PBE level of DFT.

Lattice parameters (Å, degrees): 4.6499 4.6499 4.8845 90.00 90.00 120.00
Last column: nearest neighbours and their distance in Å.
Positions (direct):
Ca: 0.0000 0.0000 0.0000  6 Cu 2.78
Cu: 0.3333 0.6667 0.1458  2 Al 2.38-2.50
Al: 0.6667 0.3333 0.3660  2 Cu 2.38-2.50
Al: 0.3333 0.6667 0.6340  2 Cu 2.38-2.50
Cu: 0.6667 0.3333 0.8542  2 Al 2.38-2.50

Calculated values
Density of states at the Fermi level = 0.296 states/eV/atom
ρ = 4015 kg/m3
Formation energy from the elements = -0.149 eV/atom

Entry 12:
Computed, not measured: a geometry-optimized CaAlCu4 structure at the PBE level of DFT.

Lattice parameters (Å, degrees): 5.9449 5.9449 6.9174 90.00 90.00 90.00
Last column: nearest neighbours and their distance in Å.
Positions (direct):
Al: 0.5000 0.5000 0.0000  6 Cu 2.30-2.31
Cu: 0.6385 0.1386 0.0000  2 Al 2.30, 1 Cu 2.33
Cu: 0.1386 0.3614 0.0000  2 Al 2.30, 1 Cu 2.33
Cu: 0.0000 0.0000 0.6663  1 Cu 2.30, 1 Al 2.31
Cu: 0.3614 0.8614 0.0000  2 Al 2.30, 1 Cu 2.33
Ca: 0.0000 0.5000 0.5000  8 Cu 3.19
Al: 0.0000 0.0000 0.0000  6 Cu 2.30-2.31
Cu: 0.0000 0.0000 0.3337  1 Cu 2.30, 1 Al 2.31
Ca: 0.5000 0.0000 0.5000  8 Cu 3.19
Cu: 0.5000 0.5000 0.3337  1 Cu 2.30, 1 Al 2.31
Cu: 0.8614 0.6385 0.0000  2 Al 2.30, 1 Cu 2.33
Cu: 0.5000 0.5000 0.6663  1 Cu 2.30, 1 Al 2.31

Calculated values
Density of states at the Fermi level = 0.363 states/eV/atom
ρ = 4364 kg/m3
Formation energy from the elements = 0.353 eV/atom